6
Lattice="0.000 4.193 4.193 4.193 0.000 4.193 4.193 4.193 0.000" Properties=species:S:1:pos:R:3 comment="LaIn4Ru | the Alexandria database | PBE | optimized geometry" vol_a3_per_cell=147.4 dos_ef_per_ev_atom=0.996 magnetic_moment_mub_per_cell=1.601 ef_kj_per_mol_atoms=21 density_g_cm3=7.88 pbc="T T T"
La 0.000 0.000 0.000
In 3.148 3.148 3.148
In 5.238 5.238 3.148
In 5.238 3.148 5.238
In 3.148 5.238 5.238
Ru 6.289 6.289 6.289



16
Lattice="13.657 0.000 0.000 0.000 5.510 0.000 -1.964 0.000 6.334" Properties=species:S:1:pos:R:3 comment="La2InRu | the Alexandria database | PBE | optimized geometry" vol_a3_per_cell=476.6 dos_ef_per_ev_atom=0.726 magnetic_moment_mub_per_cell=0.000 ef_kj_per_mol_atoms=-34 density_g_cm3=6.88 pbc="T T T"
La 0.276 0.000 1.787
La 0.525 2.755 5.159
La 4.340 0.000 1.175
La 4.589 2.755 4.546
La 7.105 2.755 1.787
La 7.354 0.000 5.159
La 11.168 2.755 1.175
La 11.417 0.000 4.546
In 2.268 2.755 2.196
In 2.597 0.000 4.138
In 9.096 0.000 2.196
In 9.425 2.755 4.138
Ru 0.040 0.000 5.333
Ru 4.825 2.755 1.001
Ru 6.869 2.755 5.333
Ru 11.653 0.000 1.001



4
Lattice="3.527 0.000 0.000 0.000 3.527 0.000 0.000 0.000 8.671" Properties=species:S:1:pos:R:3 comment="La2InRu | the Alexandria database | PBE | optimized geometry" vol_a3_per_cell=107.9 dos_ef_per_ev_atom=1.114 magnetic_moment_mub_per_cell=0.000 ef_kj_per_mol_atoms=-32 density_g_cm3=7.60 pbc="T T T"
La 0.000 0.000 1.756
La 0.000 0.000 6.915
In 1.764 1.764 4.335
Ru 1.764 1.764 0.000



16
Lattice="8.481 0.000 0.000 0.000 8.481 0.000 0.000 0.000 6.171" Properties=species:S:1:pos:R:3 comment="La2InRu | the Alexandria database | PBE | optimized geometry" vol_a3_per_cell=443.9 dos_ef_per_ev_atom=1.353 magnetic_moment_mub_per_cell=0.000 ef_kj_per_mol_atoms=-15 density_g_cm3=7.39 pbc="T T T"
La 1.514 2.120 0.771
La 2.120 5.754 2.314
La 2.120 6.967 5.399
La 2.727 2.120 3.857
La 5.754 6.361 3.857
La 6.361 1.514 5.399
La 6.361 2.727 2.314
La 6.967 6.361 0.771
In 0.000 0.000 3.085
In 0.000 4.241 4.628
In 4.241 0.000 1.543
In 4.241 4.241 0.000
Ru 0.000 0.000 0.000
Ru 0.000 4.241 1.543
Ru 4.241 0.000 4.628
Ru 4.241 4.241 3.085



5
Lattice="5.977 0.000 0.000 0.000 5.977 0.000 0.000 0.000 5.977" Properties=species:S:1:pos:R:3 comment="LaIn3Ru | the Alexandria database | PBE | optimized geometry" vol_a3_per_cell=213.5 dos_ef_per_ev_atom=2.296 magnetic_moment_mub_per_cell=2.559 ef_kj_per_mol_atoms=156 density_g_cm3=4.55 pbc="T T T"
La 0.000 0.000 0.000
In 0.000 0.000 2.988
In 0.000 2.988 0.000
In 2.988 0.000 0.000
Ru 2.988 2.988 2.988



16
Lattice="8.253 0.000 0.000 0.000 12.592 0.000 0.000 0.000 4.915" Properties=species:S:1:pos:R:3 comment="La5In2Ru | the Alexandria database | PBE | optimized geometry" vol_a3_per_cell=510.8 dos_ef_per_ev_atom=1.092 magnetic_moment_mub_per_cell=0.000 ef_kj_per_mol_atoms=-38 density_g_cm3=6.67 pbc="T T T"
La 0.000 0.000 0.000
La 1.101 3.798 0.000
La 1.524 7.161 2.457
La 2.603 0.865 2.457
La 3.026 10.094 0.000
La 4.126 6.296 0.000
La 5.227 2.498 0.000
La 5.650 11.728 2.457
La 6.729 5.432 2.457
La 7.152 8.795 0.000
In 0.640 10.476 2.457
In 3.487 4.180 2.457
In 4.766 8.412 2.457
In 7.613 2.116 2.457
Ru 0.000 6.296 0.000
Ru 4.126 0.000 0.000



8
Lattice="7.094 0.000 0.000 0.000 7.103 0.000 0.000 0.000 4.140" Properties=species:S:1:pos:R:3 comment="La2InRu | the Alexandria database | PBE | optimized geometry" vol_a3_per_cell=208.6 dos_ef_per_ev_atom=0.836 magnetic_moment_mub_per_cell=0.000 ef_kj_per_mol_atoms=-18 density_g_cm3=7.86 pbc="T T T"
La 1.774 1.776 0.000
La 1.774 5.327 0.000
La 5.321 1.776 0.000
La 5.321 5.327 0.000
In 0.000 0.000 2.070
In 3.547 3.551 2.070
Ru 0.000 3.551 2.070
Ru 3.547 0.000 2.070



8
Lattice="10.716 0.000 0.000 0.000 3.182 0.000 -1.671 0.000 4.606" Properties=species:S:1:pos:R:3 comment="LaInRu2 | the Alexandria database | PBE | optimized geometry" vol_a3_per_cell=157.1 dos_ef_per_ev_atom=0.550 magnetic_moment_mub_per_cell=0.000 ef_kj_per_mol_atoms=0 density_g_cm3=9.64 pbc="T T T"
La 0.000 0.000 0.000
La 5.358 1.591 0.000
In 1.303 0.000 2.910
In 6.661 1.591 2.910
Ru 2.638 1.591 0.747
Ru 4.257 0.000 2.276
Ru 7.996 0.000 0.747
Ru 9.615 1.591 2.276



4
Lattice="3.430 0.000 0.000 0.000 3.430 0.000 0.000 0.000 6.609" Properties=species:S:1:pos:R:3 comment="LaInRu2 | the Alexandria database | PBE | optimized geometry" vol_a3_per_cell=77.8 dos_ef_per_ev_atom=0.891 magnetic_moment_mub_per_cell=0.000 ef_kj_per_mol_atoms=4 density_g_cm3=9.74 pbc="T T T"
La 0.000 0.000 0.000
In 0.000 0.000 3.304
Ru 1.715 1.715 1.798
Ru 1.715 1.715 4.811



4
Lattice="3.139 0.000 0.000 0.000 4.768 0.000 -1.273 0.000 5.343" Properties=species:S:1:pos:R:3 comment="LaInRu2 | the Alexandria database | PBE | optimized geometry" vol_a3_per_cell=80.0 dos_ef_per_ev_atom=1.179 magnetic_moment_mub_per_cell=0.000 ef_kj_per_mol_atoms=12 density_g_cm3=9.46 pbc="T T T"
La 0.000 0.000 0.000
In 0.320 2.384 3.827
Ru 0.662 0.000 2.407
Ru 1.941 2.384 1.591



12
Lattice="4.073 0.000 0.000 -2.036 3.527 0.000 0.000 0.000 25.507" Properties=species:S:1:pos:R:3 comment="La2InRu | the Alexandria database | PBE | optimized geometry" vol_a3_per_cell=366.4 dos_ef_per_ev_atom=0.811 magnetic_moment_mub_per_cell=0.000 ef_kj_per_mol_atoms=-23 density_g_cm3=6.71 pbc="T T T"
La 0.000 0.000 5.842
La 0.000 0.000 19.665
La 0.000 2.351 11.163
La 0.000 2.351 22.846
La 2.036 1.176 2.660
La 2.036 1.176 14.344
In 0.000 0.000 0.000
In 0.000 2.351 17.004
In 2.036 1.176 8.502
Ru 0.000 0.000 12.753
Ru 0.000 2.351 4.251
Ru 2.036 1.176 21.256



4
Lattice="4.712 0.000 0.000 0.000 4.712 0.000 0.000 0.000 3.488" Properties=species:S:1:pos:R:3 comment="LaInRu2 | the Alexandria database | PBE | optimized geometry" vol_a3_per_cell=77.4 dos_ef_per_ev_atom=1.378 magnetic_moment_mub_per_cell=0.000 ef_kj_per_mol_atoms=-3 density_g_cm3=9.77 pbc="T T T"
La 0.000 0.000 0.000
In 2.356 2.356 0.000
Ru 0.000 2.356 1.744
Ru 2.356 0.000 1.744